DFT (PBE) results for a relaxed NaSI crystal.

Lattice parameters (Å, degrees): 4.5354 4.5354 11.2980 78.46 78.46 90.06
Each line ends with the local moment (μB).
Atoms (fractional coordinates):
Na 0.8175 0.8175 0.8647  0.00
Na 0.1825 0.1825 0.1353  0.00
S 0.0807 0.0807 0.5590  0.57
S 0.9193 0.9193 0.4410  0.57
I 0.3310 0.3310 0.8399  0.01
I 0.6690 0.6690 0.1601  0.01

**Total magnetization**: 0.33 μB per atom
**VASP energy**: -17.8 eV per cell
**Formation energy (no corrections)**: -0.640 eV per atom
**Energy relative to the lowest polymorph listed for this composition**: 0.0 meV/atom